Density functional theory data (PBE) for a relaxed SnGeWCl2 crystal.

The value obtained for the energy is -0.1729 Ha/atom. The calculation puts the formation energy (no corrections) at 348.5 meV/atom. Its magnetic moment is 0.0 μB per formula unit.

It has space group P4/mmm (No. 123), with a = 4.684 Å, b = 4.684 Å, c = 5.328 Å, α = 90.00°, β = 90.00° and γ = 90.00°. The inequivalent atoms are Sn at (0.000, 0.000, 0.000), Ge at (0.500, 0.500, 0.000), W at (0.500, 0.500, 0.500) and Cl at (0.000, 0.500, 0.500).

=====

Density functional theory data (PBE) for a relaxed LiIn6Au12 crystal.

For the energy relative to the elements, the calculation gives -0.19 eV per atom. The value obtained for the energy is -0.1184 Ha/atom. Its magnetic moment is 0.0 μB per formula unit.

It has space group R-3 (No. 148, hexagonal axes), with a = 12.1646 Å, b = 12.1646 Å, c = 8.9995 Å, α = 90.00°, β = 90.00° and γ = 120.00°. The inequivalent atoms are Li at (0.0000, 0.0000, 0.0000), In at (0.0525, 0.8344, 0.7448), Au at (0.0515, 0.8189, 0.0818) and Au at (0.0595, 0.8291, 0.4187).

=====

Density functional theory data (PBE) for a relaxed DyScCoIr crystal.

For the energy relative to the elements, the calculation gives -0.58 eV per atom. The value obtained for the energy is -0.2684 Ha/atom. Its magnetic moment is 0.5 μB per formula unit.

It has space group F-43m (No. 216), with a = 6.588 Å, b = 6.588 Å, c = 6.588 Å, α = 90.00°, β = 90.00° and γ = 90.00°. The inequivalent atoms are Dy at (0.000, 0.000, 0.000), Sc at (0.000, 0.000, 0.500), Co at (0.250, 0.250, 0.750) and Ir at (0.250, 0.250, 0.250).

=====

Density functional theory data (PBE) for a relaxed Sr2LiSi crystal.

The value obtained for the energy is -0.0856 Ha/atom. The calculation puts the formation energy (no corrections) at 346.0 meV/atom. Its magnetic moment is 0.0 μB per formula unit.

It has space group I-42d (No. 122), with a = 5.298 Å, b = 5.298 Å, c = 20.633 Å, α = 90.00°, β = 90.00° and γ = 90.00°. The inequivalent atoms are Sr at (0.227, 0.250, 0.125), Li at (0.000, 0.000, 0.500) and Si at (0.000, 0.000, 0.000).

=====

Density functional theory data (PBE) for a relaxed Ca4Cu3Ge crystal.

For the energy relative to the elements, the calculation gives -0.27 eV per atom. The value obtained for the energy is -0.1242 Ha/atom. Its magnetic moment is 0.0 μB per formula unit.

It has space group Pmm2 (No. 25), with a = 4.269 Å, b = 4.360 Å, c = 10.547 Å, α = 90.00°, β = 90.00° and γ = 90.00°. The inequivalent atoms are Ca at (0.000, 0.000, 0.000), Ca at (0.000, 0.500, 0.497), Ca at (0.500, 0.000, 0.281), Ca at (0.500, 0.500, 0.784), Cu at (0.000, 0.000, 0.698), Cu at (0.000, 0.500, 0.196), Cu at (0.500, 0.000, 0.581) and Ge at (0.500, 0.500, 0.081).

=====

Density functional theory data (PBE) for a relaxed Na2Bi2Cl7 crystal.

The value obtained for the energy is -0.1198 Ha/atom. The calculation puts the formation energy (no corrections) at -1138.2 meV/atom. Its magnetic moment is 0.0 μB per formula unit. The calculation puts the energy above the most stable polymorph in this dataset at 0 meV/atom.

It has space group C2/m (No. 12), with a = 8.689 Å, b = 11.613 Å, c = 7.405 Å, α = 90.00°, β = 98.93° and γ = 90.00°. The inequivalent atoms are Na at (0.000, 0.196, 0.000), Bi at (0.200, 0.000, 0.561), Cl at (0.000, 0.500, 0.500), Cl at (0.137, 0.000, 0.194) and Cl at (0.231, 0.190, 0.762).

=====

Density functional theory data (PBE) for a relaxed TmLu3 crystal.

For the energy relative to the elements, the calculation gives 0.04 eV per atom. The value obtained for the energy is -0.1643 Ha/atom. Its magnetic moment is 0.0 μB per formula unit. The calculation puts the energy above the most stable polymorph in this dataset at 42 meV/atom.

It has space group Pm-3m (No. 221), with a = 4.893 Å, b = 4.893 Å, c = 4.893 Å, α = 90.00°, β = 90.00° and γ = 90.00°. The inequivalent atoms are Tm at (0.000, 0.000, 0.000) and Lu at (0.000, 0.500, 0.500).

=====

Density functional theory data (PBE) for a relaxed DyYMg2Hg4 crystal.

For the energy relative to the elements, the calculation gives -0.46 eV per atom. The value obtained for the energy is -0.0881 Ha/atom. Its magnetic moment is 0.0 μB per formula unit.

It has space group R-3m (No. 166, hexagonal axes), with a = 5.0712 Å, b = 5.0712 Å, c = 24.9011 Å, α = 90.00°, β = 90.00° and γ = 120.00°. The inequivalent atoms are Dy at (0.0000, 0.0000, 0.0000), Y at (0.0000, 0.0000, 0.5000), Mg at (0.0000, 0.0000, 0.2499), Hg at (0.0000, 0.0000, 0.1244) and Hg at (0.0000, 0.0000, 0.3749).

=====

Density functional theory data (PBE) for a relaxed Cs2AcCdO4 crystal.

The value obtained for the energy is -0.1818 Ha/atom. The calculation puts the formation energy (no corrections) at -1627.9 meV/atom. Its magnetic moment is 1.1 μB per formula unit.

It has space group P2/m (No. 10), with a = 6.196 Å, b = 3.954 Å, c = 7.129 Å, α = 90.00°, β = 104.20° and γ = 90.00°. The inequivalent atoms are Cs at (0.000, 0.000, 0.000), Cs at (0.500, 0.500, 0.000), Ac at (0.000, 0.500, 0.500), Cd at (0.500, 0.000, 0.500), O at (0.238, 0.000, 0.669) and O at (0.259, 0.500, 0.306).

=====

Density functional theory data (PBE) for a relaxed YErAs2Rh5 crystal.

For the energy relative to the elements, the calculation gives -0.78 eV per atom. The value obtained for the energy is -0.2617 Ha/atom. Its magnetic moment is 0.0 μB per formula unit.

It has space group P4/mmm (No. 123), with a = 4.237 Å, b = 4.237 Å, c = 8.750 Å, α = 90.00°, β = 90.00° and γ = 90.00°. The inequivalent atoms are Y at (0.000, 0.000, 0.000), Er at (0.000, 0.000, 0.500), As at (0.500, 0.500, 0.354), Rh at (0.000, 0.500, 0.234) and Rh at (0.500, 0.500, 0.000).

=====

Density functional theory data (PBE) for a relaxed HoPaCSe crystal.

The value obtained for the energy is -0.2841 Ha/atom. The calculation puts the formation energy (no corrections) at -1033.9 meV/atom. Its magnetic moment is 0.0 μB per formula unit.

It has space group R3m (No. 160, hexagonal axes), with a = 3.7108 Å, b = 3.7108 Å, c = 20.2277 Å, α = 90.00°, β = 90.00° and γ = 120.00°. The inequivalent atoms are Ho at (0.0000, 0.0000, 0.0000), Pa at (0.0000, 0.0000, 0.7971), C at (0.0000, 0.0000, 0.4062) and Se at (0.0000, 0.0000, 0.2333).

=====

Density functional theory data (PBE) for a relaxed PmTcP crystal.

For the energy relative to the elements, the calculation gives -0.54 eV per atom. The value obtained for the energy is -0.2712 Ha/atom. Its magnetic moment is 0.0 μB per formula unit. The calculation puts the energy above the most stable polymorph in this dataset at 101 meV/atom.

It has space group I4mm (No. 107), with a = 3.205 Å, b = 3.205 Å, c = 10.761 Å, α = 90.00°, β = 90.00° and γ = 90.00°. The inequivalent atoms are Pm at (0.000, 0.000, 0.000), Tc at (0.000, 0.000, 0.292) and P at (0.000, 0.000, 0.701).

=====

Q: The lowest energy belongs to which entry?
A: HoPaCSe